The following is a PBE-GGA calculation of a geometry-optimized SrCa2Hf structure, from the Alexandria database.

Values from the calculation:
**Density**: 4.069 g/cm³
**Energy of formation from the pure elements**: 205 kJ/mol of formula units

Cell: 5.846 5.846 5.846 Å, 60.00 60.00 60.00°
Fractional positions:
Ca 0.750 0.750 0.750
Sr 0.000 0.000 0.000
Ca 0.250 0.250 0.250
Hf 0.500 0.500 0.500